Here is a geometry-optimized MnCuO3 structure from the Alexandria database. Energies are from PBE with a Hubbard U.

Cell: 3.8851 3.8851 3.8851 Å, 86.99 86.99 86.99°
Last column: magnetic moment on the atom in μB.
Element x y z (fractional)
Cu: 0.8373 0.8373 0.8373  -0.57
O: 0.7031 0.1808 0.1808  -0.30
O: 0.1808 0.1808 0.7031  -0.30
O: 0.1808 0.7031 0.1808  -0.30
Mn: 0.2229 0.2229 0.2229  3.50

- density of states at the Fermi level (states/eV/f.u.) = 1.830
- DFT total energy (eV for the cell shown) = -29.685